{
  "formula": "RePt4",
  "functional": "GGA-PBE",
  "state": "optimized geometry",
  "cell": [[4.770, 0.000, 0.000], [0.000, 4.770, 0.000], [0.000, 0.000, 4.770]],
  "species": ["Re", "Pt", "Pt", "Pt", "Pt"],
  "fractional_positions": [[0.000, 0.000, 0.000], [0.000, 0.000, 0.500], [0.000, 0.500, 0.000], [0.500, 0.000, 0.000], [0.500, 0.500, 0.500]],
  "volume_a3_per_atom": 21.71,
  "de_polymorph_ev_per_fu": 8.00,
  "spacegroup": "Pm-3m, No. 221",
  "formation_energy_kj_per_mol_atoms": 143.50
}